No. 1
Sr2Zn4InGe3 | PBE-GGA | relaxed

Structure (POSCAR):
```
Sr2Zn4InGe3
1.0
4.4371 0.0000 0.0000
0.0000 4.4371 0.0000
0.0000 0.0000 10.9982
Sr Zn In Ge
2 4 1 3
Cartesian
2.2185 0.0000 2.6394
0.0000 2.2185 8.3589
2.2185 2.2185 0.0000
0.0000 0.0000 0.0000
2.2185 0.0000 7.0700
0.0000 2.2185 3.9283
2.2185 2.2185 5.4991
0.0000 0.0000 5.4991
2.2185 0.0000 9.5775
0.0000 2.2185 1.4207
```

Formation energy from the elements in eV per atom: -0.356
Raw total energy in eV/f.u.: -28.61
Crystal system: tetragonal

No. 2
ZrPdPtPb | PBE-GGA | relaxed

Structure (POSCAR):
```
ZrPdPtPb
1.0
-4.7196 -0.1652 -0.6966
-2.8924 -1.3313 3.5565
-2.8366 3.2143 2.0999
Pb Zr Pd Pt
1 1 1 1
Cartesian
-5.2243 0.8589 2.4799
0.0000 0.0000 0.0000
-2.6121 0.4294 1.2400
-7.8364 1.2883 3.7199
```

Formation energy from the elements in eV per atom: -0.538
Raw total energy in eV/f.u.: -25.64
Crystal system: cubic

No. 3
DyZrZnRh | PBE-GGA | relaxed

Structure (POSCAR):
```
DyZrZnRh
1.0
4.8162 0.0000 0.0000
2.4081 4.1710 0.0000
2.4081 1.3903 3.9324
Zn Rh Zr Dy
1 1 1 1
Cartesian
4.8162 2.7806 1.9662
0.0000 0.0000 0.0000
2.4081 1.3903 0.9831
7.2243 4.1710 2.9493
```

Formation energy from the elements in eV per atom: -0.476
Raw total energy in eV/f.u.: -23.68
Crystal system: cubic

No. 4
Sc2Ti2Hg | PBE-GGA | relaxed

Structure (POSCAR):
```
Sc2Ti2Hg
1.0
7.1722 0.0000 0.0000
0.0000 7.1722 0.0000
0.0000 0.0000 4.0849
Sc Hg Ti
4 2 4
Cartesian
1.1276 4.7137 2.0425
4.7137 6.0446 2.0425
6.0446 2.4585 2.0425
2.4585 1.1276 2.0425
0.0000 0.0000 0.0000
3.5861 3.5861 0.0000
2.6221 6.2082 0.0000
6.2082 4.5502 0.0000
4.5502 0.9641 0.0000
0.9641 2.6221 0.0000
```

Formation energy from the elements in eV per atom: 0.073
Raw total energy in eV/f.u.: -28.39
Crystal system: tetragonal

For reference, theoretical density by record: 5.90; 12.95; 8.87; 6.10 g/cm3.